! FeP2SO | Alexandria | PBE+U | optimized geometry; values from VASP
! - Calculated total energy: -4.610 eV/atom
! - Offset from the most stable computed form: 0.85 kJ per mole of atoms
&SYSTEM
  ibrav = 0, nat = 5, ntyp = 4
/
ATOMIC_SPECIES
Fe 55.84 Fe.upf
P 30.97 P.upf
S 32.06 S.upf
O 16.00 O.upf
ATOMIC_POSITIONS angstrom
Fe 0.000 0.000 0.000
P 0.000 1.868 3.264
P 1.868 0.000 3.264
S 1.868 1.868 0.000
O 1.868 1.868 3.264
CELL_PARAMETERS angstrom
3.737 0.000 0.000
0.000 3.737 0.000
0.000 0.000 6.527